No. 1
SrTa2Cd at its PBEsol-relaxed geometry, computed with SCAN.

Cell: 2.9045 2.9045 10.0831 Å, 90.00 90.00 90.00°
Last column: nearest neighbours and their distance in Å.
Atoms (fractional coordinates):
Cd 0.0000 0.0000 0.4748  4 Cd 2.90, 4 Ta 3.07
Sr 0.5000 0.5000 0.7440  4 Sr 2.90
Ta 0.0000 0.0000 0.0325  8 Ta 2.90-2.99
Ta 0.5000 0.5000 0.2486  8 Ta 2.90-2.99, 4 Cd 3.07

Output
Theoretical density = 10.97 Mg/m³
N(E_F) = 3.2 states/eV per cell
Space-group type = No. 99
Formation enthalpy at 0 K = 0.485 eV per atom
E_tot = -45.98 eV/atom

=====

No. 2
CuSb3N at its PBEsol-relaxed geometry, computed with SCAN.

Cell: 4.6340 4.6340 4.6340 Å, 90.00 90.00 90.00°
Last column: nearest neighbours and their distance in Å.
Atoms (fractional coordinates):
Sb 0.0000 0.5000 0.0000  2 N 2.32
Sb 0.0000 0.0000 0.5000  2 N 2.32
Sb 0.5000 0.0000 0.0000  2 N 2.32
Cu 0.5000 0.5000 0.5000  12 Sb 3.28
N 0.0000 0.0000 0.0000  6 Sb 2.32

Output
Theoretical density = 7.39 Mg/m³
N(E_F) = 2.4 states/eV per cell
E_form (uncorrected) = 866 meV/atom
Space-group type = No. 221
E_tot = -26.39 eV/atom

=====

No. 3
YMnF3 at its PBEsol-relaxed geometry, computed with SCAN.

Cell: 4.4176 4.4176 4.4176 Å, 90.00 90.00 90.00°
Last column: nearest neighbours and their distance in Å.
Atoms (fractional coordinates):
Y 0.0000 0.0000 0.0000  6 F 2.21
Mn 0.5000 0.5000 0.5000  12 F 3.12
F 0.0000 0.5000 0.0000  2 Y 2.21
F 0.0000 0.0000 0.5000  2 Y 2.21
F 0.5000 0.0000 0.0000  2 Y 2.21

Output
Theoretical density = 3.87 Mg/m³
N(E_F) = 1.3 states/eV per cell
E_form (uncorrected) = -2770 meV/atom
Space-group type = No. 221
E_tot = -14.11 eV/atom

=====

No. 4
Li2MnSiO4 at its PBEsol-relaxed geometry, computed with SCAN.

Cell: 4.4193 4.4193 5.2584 Å, 114.85 114.85 90.00°
Last column: nearest neighbours and their distance in Å.
Atoms (fractional coordinates):
Si 0.5000 0.5000 0.0000  4 O 1.65
Mn 0.0000 0.0000 0.0000  4 O 2.03
O 0.1716 0.5997 0.7714  1 Si 1.65
O 0.5997 0.1716 0.7714  1 Si 1.65
O 0.4003 0.4003 0.2286  1 Si 1.65
O 0.8284 0.8284 0.2286  1 Si 1.65
Li 0.2500 0.7500 0.5000  4 O 1.95
Li 0.7500 0.2500 0.5000  4 O 1.95

Output
Theoretical density = 3.23 Mg/m³
N(E_F) = 0.0 states/eV per cell
Energy above the most stable polymorph in this dataset = 0.382 kcal/mol of atoms
E_form (uncorrected) = -2581 meV/atom
Space-group type = No. 121
E_tot = -9.83 eV/atom

=====

No. 5
SnTe2Se at its PBEsol-relaxed geometry, computed with SCAN.

Cell: 5.4750 5.4750 9.5751 Å, 106.61 106.61 90.00°
Last column: nearest neighbours and their distance in Å.
Atoms (fractional coordinates):
Te 0.4021 0.8750 0.2500  2 Se 2.86, 2 Sn 2.99
Te 0.8479 0.3750 0.2500  2 Se 2.86, 2 Sn 2.99
Te 0.1250 0.1521 0.7500  2 Se 2.86, 2 Sn 2.99
Te 0.6250 0.5979 0.7500  2 Se 2.86, 2 Sn 2.99
Sn 0.2500 0.7500 0.5000  4 Te 2.99
Sn 0.0000 0.0000 0.0000  4 Te 2.99
Se 0.7500 0.2500 0.5000  4 Te 2.86
Se 0.5000 0.5000 0.0000  4 Te 2.86

Output
Theoretical density = 5.73 Mg/m³
N(E_F) = 2.1 states/eV per cell
E_form (uncorrected) = 177 meV/atom
Space-group type = No. 122
E_tot = -32.45 eV/atom

=====

No. 6
CuRh2Cl at its PBEsol-relaxed geometry, computed with SCAN.

Cell: 2.7452 2.7951 8.2919 Å, 90.00 90.00 119.41°
Last column: nearest neighbours and their distance in Å.
Atoms (fractional coordinates):
Cl 0.5000 0.0000 0.5000  4 Rh 2.46, 2 Cl 2.75
Cu 0.5000 0.0000 0.0000  4 Rh 2.51, 6 Cu 2.75-2.80
Rh 0.0000 0.0000 0.7466  2 Cl 2.46, 2 Cu 2.51, 2 Rh 2.75
Rh 0.0000 0.0000 0.2534  2 Cl 2.46, 2 Cu 2.51, 2 Rh 2.75

Output
Theoretical density = 9.13 Mg/m³
N(E_F) = 3.7 states/eV per cell
Energy above the most stable polymorph in this dataset = 1.531 kcal/mol of atoms
E_form (uncorrected) = 422 meV/atom
Space-group type = No. 65
E_tot = -22.26 eV/atom

=====

No. 7
TiCuN3 at its PBEsol-relaxed geometry, computed with SCAN.

Cell: 3.8785 3.8785 3.8785 Å, 90.00 90.00 90.00°
Last column: nearest neighbours and their distance in Å.
Atoms (fractional coordinates):
N 0.0000 0.5000 0.0000  2 Ti 1.94
N 0.0000 0.0000 0.5000  2 Ti 1.94
N 0.5000 0.0000 0.0000  2 Ti 1.94
Cu 0.5000 0.5000 0.5000  12 N 2.74
Ti 0.0000 0.0000 0.0000  6 N 1.94

Output
Theoretical density = 4.37 Mg/m³
N(E_F) = 3.6 states/eV per cell
E_form (uncorrected) = 863 meV/atom
Space-group type = No. 221
E_tot = -10.96 eV/atom

=====

No. 8
ScFeAg3 at its PBEsol-relaxed geometry, computed with SCAN.

Cell: 4.8909 4.8909 4.8909 Å, 90.00 90.00 90.00°
Last column: nearest neighbours and their distance in Å.
Atoms (fractional coordinates):
Sc 0.0000 0.0000 0.0000  6 Ag 2.45
Fe 0.5000 0.5000 0.5000  12 Ag 3.46
Ag 0.0000 0.5000 0.0000  2 Sc 2.45
Ag 0.0000 0.0000 0.5000  2 Sc 2.45
Ag 0.5000 0.0000 0.0000  2 Sc 2.45

Output
Theoretical density = 6.02 Mg/m³
N(E_F) = 5.2 states/eV per cell
Space-group type = No. 221
Formation enthalpy at 0 K = 1.401 eV per atom
E_tot = -23.89 eV/atom

=====

No. 9
BaCdPb at its PBEsol-relaxed geometry, computed with SCAN.

Cell: 5.2330 6.6014 6.5983 Å, 79.74 66.64 66.65°
Last column: nearest neighbours and their distance in Å.
Atoms (fractional coordinates):
Pb 0.1654 0.9041 0.7651  3 Cd 3.04-3.15, 1 Pb 3.10
Pb 0.8346 0.0959 0.2349  3 Cd 3.04-3.15, 1 Pb 3.10
Ba 0.4522 0.2980 0.7975  6 Cd 3.55-3.81, 6 Pb 3.55-3.90
Ba 0.5478 0.7020 0.2025  6 Cd 3.55-3.81, 6 Pb 3.55-3.90
Cd 0.8442 0.7138 0.5978  1 Cd 2.88, 3 Pb 3.04-3.15
Cd 0.1558 0.2862 0.4022  1 Cd 2.88, 3 Pb 3.04-3.15

Output
Theoretical density = 7.90 Mg/m³
N(E_F) = 1.0 states/eV per cell
Space-group type = No. 12
Formation enthalpy at 0 K = -0.639 eV per atom
E_tot = -49.22 eV/atom

=====

No. 10
MgMnBe3 at its PBEsol-relaxed geometry, computed with SCAN.

Cell: 4.2624 4.2624 4.2624 Å, 90.00 90.00 90.00°
Last column: nearest neighbours and their distance in Å.
Atoms (fractional coordinates):
Be 0.0000 0.5000 0.0000  2 Mg 2.13
Be 0.0000 0.0000 0.5000  2 Mg 2.13
Be 0.5000 0.0000 0.0000  2 Mg 2.13
Mg 0.0000 0.0000 0.0000  6 Be 2.13
Mn 0.5000 0.5000 0.5000  12 Be 3.01

Output
Theoretical density = 2.28 Mg/m³
N(E_F) = 2.0 states/eV per cell
Space-group type = No. 221
Formation enthalpy at 0 K = 1.403 eV per atom
E_tot = -5.85 eV/atom

=====

No. 11
Be2Ru at its PBEsol-relaxed geometry, computed with SCAN.

Cell: 3.3014 3.3014 11.0856 Å, 98.56 98.56 90.00°
Last column: nearest neighbours and their distance in Å.
Atoms (fractional coordinates):
Be 0.9998 0.4998 0.9996  4 Ru 2.26, 4 Be 2.33
Be 0.5002 0.0002 0.0004  4 Ru 2.26, 4 Be 2.33
Be 0.7498 0.7498 0.4996  4 Ru 2.26, 4 Be 2.33
Be 0.2502 0.2502 0.5004  4 Ru 2.26, 4 Be 2.33
Be 0.8392 0.3392 0.6783  2 Be 2.27, 4 Ru 2.37
Be 0.6608 0.1608 0.3217  2 Be 2.27, 4 Ru 2.37
Be 0.5892 0.5892 0.1783  2 Be 2.27, 4 Ru 2.37
Be 0.4108 0.4108 0.8217  2 Be 2.27, 4 Ru 2.37
Ru 0.1789 0.6789 0.3577  8 Be 2.26-2.37
Ru 0.3211 0.8211 0.6423  8 Be 2.26-2.37
Ru 0.9289 0.9289 0.8577  8 Be 2.26-2.37
Ru 0.0711 0.0711 0.1423  8 Be 2.26-2.37

Output
Theoretical density = 6.70 Mg/m³
N(E_F) = 3.8 states/eV per cell
Energy above the most stable polymorph in this dataset = 0.706 kcal/mol of atoms
Space-group type = No. 141
Formation enthalpy at 0 K = -0.409 eV per atom
E_tot = -14.92 eV/atom

=====

No. 12
Be2FeRu at its PBEsol-relaxed geometry, computed with SCAN.

Cell: 3.8345 3.8345 3.8345 Å, 60.00 60.00 60.00°
Last column: nearest neighbours and their distance in Å.
Atoms (fractional coordinates):
Ru 0.2500 0.2500 0.2500  4 Fe 2.35, 4 Be 2.35
Fe 0.5000 0.5000 0.5000  4 Be 2.35, 4 Ru 2.35
Be 0.0000 0.0000 0.0000  4 Ru 2.35, 4 Be 2.35
Be 0.7500 0.7500 0.7500  4 Be 2.35, 4 Fe 2.35

Output
Theoretical density = 7.29 Mg/m³
N(E_F) = 2.5 states/eV per cell
Space-group type = No. 216
Formation enthalpy at 0 K = -0.146 eV per atom
E_tot = -15.56 eV/atom